# 1
# CeThOs, relaxed, DFT GGA-PBE
data_CeThOs
_space_group_name_H-M_alt 'P 1'
_space_group_IT_number 1
_cell_length_a 4.044
_cell_length_b 4.179
_cell_length_c 8.507
_cell_angle_alpha 90.15
_cell_angle_beta 89.97
_cell_angle_gamma 90.00
loop_
_space_group_symop_operation_xyz
'x,y,z'
loop_
_atom_site_label
_atom_site_fract_x
_atom_site_fract_y
_atom_site_fract_z
_atom_site_occupancy
Ce1 0.023 0.341 0.005 1
Ce2 0.522 0.835 0.042 1
Th1 0.023 0.839 0.669 1
Th2 0.523 0.337 0.377 1
Os1 0.523 0.339 0.741 1
Os2 0.023 0.837 0.306 1
# relative energy among the computed polymorphs	0.0000	eV per atom
# energy of formation	-0.242	eV per atom
# SG	P2_1/m (11)

# 2
# NpZn2Bi, relaxed, DFT GGA-PBE
data_NpZn2Bi
_space_group_name_H-M_alt 'P 1'
_space_group_IT_number 1
_cell_length_a 4.618
_cell_length_b 4.434
_cell_length_c 4.434
_cell_angle_alpha 90.00
_cell_angle_beta 90.00
_cell_angle_gamma 90.00
loop_
_space_group_symop_operation_xyz
'x,y,z'
loop_
_atom_site_label
_atom_site_fract_x
_atom_site_fract_y
_atom_site_fract_z
_atom_site_occupancy
Np1 0.500 0.500 0.500 1
Zn1 0.000 0.000 0.500 1
Zn2 0.000 0.500 0.000 1
Bi1 0.500 0.000 0.000 1
# relative energy among the computed polymorphs	0.0000	eV per atom
# energy of formation	0.076	eV per atom
# SG	P4/mmm (123)

# 3
# SiSnPd2F, relaxed, DFT GGA-PBE
data_SiSnPd2F
_space_group_name_H-M_alt 'P 1'
_space_group_IT_number 1
_cell_length_a 4.445
_cell_length_b 4.445
_cell_length_c 5.659
_cell_angle_alpha 90.00
_cell_angle_beta 90.00
_cell_angle_gamma 90.00
loop_
_space_group_symop_operation_xyz
'x,y,z'
loop_
_atom_site_label
_atom_site_fract_x
_atom_site_fract_y
_atom_site_fract_z
_atom_site_occupancy
Si1 0.000 0.000 0.000 1
Sn1 0.000 0.000 0.500 1
Pd1 0.000 0.500 0.000 1
Pd2 0.500 0.000 0.000 1
F1 0.500 0.500 0.500 1
# energy relative to the elements, uncorrected	-0.110	eV/atom
# SG	P4/mmm (123)

# 4
# Tb2NdHg, relaxed, DFT GGA-PBE
data_Tb2NdHg
_space_group_name_H-M_alt 'P 1'
_space_group_IT_number 1
_cell_length_a 4.843
_cell_length_b 4.874
_cell_length_c 4.874
_cell_angle_alpha 90.00
_cell_angle_beta 90.00
_cell_angle_gamma 90.00
loop_
_space_group_symop_operation_xyz
'x,y,z'
loop_
_atom_site_label
_atom_site_fract_x
_atom_site_fract_y
_atom_site_fract_z
_atom_site_occupancy
Nd1 0.500 0.000 0.000 1
Tb1 0.000 0.000 0.500 1
Tb2 0.000 0.500 0.000 1
Hg1 0.500 0.500 0.500 1
# relative energy among the computed polymorphs	0.0730	eV per atom
# energy of formation	-0.160	eV per atom
# SG	P4/mmm (123)

# 5
# Na2Cd2Au, relaxed, DFT GGA-PBE
data_Na2Cd2Au
_space_group_name_H-M_alt 'P 1'
_space_group_IT_number 1
_cell_length_a 4.003
_cell_length_b 4.003
_cell_length_c 8.255
_cell_angle_alpha 75.97
_cell_angle_beta 75.97
_cell_angle_gamma 90.00
loop_
_space_group_symop_operation_xyz
'x,y,z'
loop_
_atom_site_label
_atom_site_fract_x
_atom_site_fract_y
_atom_site_fract_z
_atom_site_occupancy
Na1 0.750 0.250 0.500 1
Na2 0.250 0.750 0.500 1
Au1 0.000 0.000 0.000 1
Cd1 0.409 0.409 0.183 1
Cd2 0.591 0.591 0.817 1
# relative energy among the computed polymorphs	0.3236	eV per atom
# energy of formation	0.109	eV per atom
# SG	I4/mmm (139)

# 6
# Ba2OsW, relaxed, DFT GGA-PBE
data_Ba2OsW
_space_group_name_H-M_alt 'P 1'
_space_group_IT_number 1
_cell_length_a 3.068
_cell_length_b 3.068
_cell_length_c 10.758
_cell_angle_alpha 90.00
_cell_angle_beta 90.00
_cell_angle_gamma 90.08
loop_
_space_group_symop_operation_xyz
'x,y,z'
loop_
_atom_site_label
_atom_site_fract_x
_atom_site_fract_y
_atom_site_fract_z
_atom_site_occupancy
Os1 0.500 0.500 0.250 1
Ba1 0.000 0.000 0.014 1
Ba2 0.000 0.000 0.486 1
W1 0.500 0.500 0.750 1
# relative energy among the computed polymorphs	1.2171	eV per atom
# energy of formation	1.620	eV per atom
# SG	P4/mmm (123)

Repeat the fifth record exactly.
# Na2Cd2Au, relaxed, DFT GGA-PBE
data_Na2Cd2Au
_space_group_name_H-M_alt 'P 1'
_space_group_IT_number 1
_cell_length_a 4.003
_cell_length_b 4.003
_cell_length_c 8.255
_cell_angle_alpha 75.97
_cell_angle_beta 75.97
_cell_angle_gamma 90.00
loop_
_space_group_symop_operation_xyz
'x,y,z'
loop_
_atom_site_label
_atom_site_fract_x
_atom_site_fract_y
_atom_site_fract_z
_atom_site_occupancy
Na1 0.750 0.250 0.500 1
Na2 0.250 0.750 0.500 1
Au1 0.000 0.000 0.000 1
Cd1 0.409 0.409 0.183 1
Cd2 0.591 0.591 0.817 1
# relative energy among the computed polymorphs	0.3236	eV per atom
# energy of formation	0.109	eV per atom
# SG	I4/mmm (139)